The following is a PBE-GGA calculation of Al2TlPb after structural relaxation, from Alexandria via LeMat-Bulk.

Symmetry: No. 47
E above lowest polymorph, eV/atom: 0.151
Calculated formation energy, kcal/mol of atoms: 7.00
Fermi-level density of states, states/eV/cell: 0.949

```
Al2TlPb
1.0
4.1927 0.0000 0.0000
0.0000 5.0073 0.0000
0.0000 0.0000 4.7670
Pb Tl Al
1 1 2
Direct
0.5000 0.0000 0.5000 Pb
0.0000 0.5000 0.5000 Tl
0.0000 0.0000 0.0000 Al
0.5000 0.5000 0.0000 Al
```